Run A
# K2ZnCd | the Alexandria database | meta-GGA SCAN | single point on PBEsol structure
# Total moment (μB per atom): 0.00
data_K2ZnCd
_symmetry_space_group_name_H-M 'I m m 2'
_symmetry_Int_Tables_number 44
_cell_length_a 4.1629
_cell_length_b 5.8695
_cell_length_c 11.2626
_cell_angle_alpha 90.00
_cell_angle_beta 90.00
_cell_angle_gamma 90.00
loop_
_symmetry_equiv_pos_as_xyz
'x,y,z'
'-x,-y,z'
'-x,y,z'
'x,-y,z'
'x+1/2,y+1/2,z+1/2'
'-x+1/2,-y+1/2,z+1/2'
'-x+1/2,y+1/2,z+1/2'
'x+1/2,-y+1/2,z+1/2'
loop_
_atom_site_label
_atom_site_fract_x
_atom_site_fract_y
_atom_site_fract_z
_atom_site_occupancy
K1 0.0000 0.0000 0.0000 1
K2 0.0000 0.5000 0.1966 1
Zn1 0.0000 0.5000 0.7682 1
Cd1 0.0000 0.0000 0.4149 1

=====

Run B
# K2ZnCd | the Alexandria database | meta-GGA SCAN | single point on PBEsol structure
# Total moment (μB per atom): 0.00
data_K2ZnCd
_symmetry_space_group_name_H-M 'R 3 m'
_symmetry_Int_Tables_number 160
_symmetry_space_group_name_Hall 'R 3 -2"'
_cell_length_a 4.6745
_cell_length_b 4.6745
_cell_length_c 25.3525
_cell_angle_alpha 90.00
_cell_angle_beta 90.00
_cell_angle_gamma 120.00
loop_
_atom_site_label
_atom_site_fract_x
_atom_site_fract_y
_atom_site_fract_z
_atom_site_occupancy
K1 0.0000 0.0000 0.0000 1
K2 0.0000 0.0000 0.1833 1
Zn1 0.0000 0.0000 0.4250 1
Cd1 0.0000 0.0000 0.7583 1

=====

Run C
# K2ZnCd | the Alexandria database | meta-GGA SCAN | single point on PBEsol structure
# Total moment (μB per atom): 0.00
data_K2ZnCd
_symmetry_space_group_name_H-M 'F m -3 m'
_symmetry_Int_Tables_number 225
_symmetry_space_group_name_Hall '-F 4 2 3'
_cell_length_a 8.2315
_cell_length_b 8.2315
_cell_length_c 8.2315
_cell_angle_alpha 90.00
_cell_angle_beta 90.00
_cell_angle_gamma 90.00
loop_
_atom_site_label
_atom_site_fract_x
_atom_site_fract_y
_atom_site_fract_z
_atom_site_occupancy
K1 0.2500 0.2500 0.2500 1
Zn1 0.0000 0.0000 0.0000 1
Cd1 0.0000 0.0000 0.5000 1

=====

Here are the energies relative to the best structure, in kJ/mol of atoms: run A 2.9; run B 0.0; run C 15.1.

=====

Run A
# KZrCd2 | the Alexandria database | meta-GGA SCAN | single point on PBEsol structure
# Total moment (μB per atom): 0.25
data_KZrCd2
_symmetry_space_group_name_H-M 'F -4 3 m'
_symmetry_Int_Tables_number 216
_symmetry_space_group_name_Hall 'F -4 2 3'
_cell_length_a 7.1926
_cell_length_b 7.1926
_cell_length_c 7.1926
_cell_angle_alpha 90.00
_cell_angle_beta 90.00
_cell_angle_gamma 90.00
loop_
_atom_site_label
_atom_site_fract_x
_atom_site_fract_y
_atom_site_fract_z
_atom_site_occupancy
K1 0.0000 0.0000 0.0000 1
Zr1 0.2500 0.2500 0.7500 1
Cd1 0.0000 0.0000 0.5000 1
Cd2 0.2500 0.2500 0.2500 1

=====

Run B
# KZrCd2 | the Alexandria database | meta-GGA SCAN | single point on PBEsol structure
# Total moment (μB per atom): 0.00
data_KZrCd2
_symmetry_space_group_name_H-M 'P 4 m m'
_symmetry_Int_Tables_number 99
_cell_length_a 3.1405
_cell_length_b 3.1405
_cell_length_c 10.3412
_cell_angle_alpha 90.00
_cell_angle_beta 90.00
_cell_angle_gamma 90.00
loop_
_symmetry_equiv_pos_as_xyz
'x,y,z'
'-y,x,z'
'-x,-y,z'
'y,-x,z'
'-x,y,z'
'y,x,z'
'x,-y,z'
'-y,-x,z'
loop_
_atom_site_label
_atom_site_fract_x
_atom_site_fract_y
_atom_site_fract_z
_atom_site_occupancy
K1 0.0000 0.0000 0.0000 1
Zr1 0.5000 0.5000 0.3282 1
Cd1 0.0000 0.0000 0.5257 1
Cd2 0.5000 0.5000 0.7301 1

=====

Here are the energies relative to the best structure, in kJ/mol of atoms: run A 28.3; run B 0.0.

=====

Run A
# La3CdN | the Alexandria database | meta-GGA SCAN | single point on PBEsol structure
# Total moment (μB per atom): 0.00
data_La3CdN
_symmetry_space_group_name_H-M 'P m -3 m'
_symmetry_Int_Tables_number 221
_symmetry_space_group_name_Hall '-P 4 2 3'
_cell_length_a 5.0589
_cell_length_b 5.0589
_cell_length_c 5.0589
_cell_angle_alpha 90.00
_cell_angle_beta 90.00
_cell_angle_gamma 90.00
loop_
_atom_site_label
_atom_site_fract_x
_atom_site_fract_y
_atom_site_fract_z
_atom_site_occupancy
La1 0.0000 0.0000 0.5000 1
Cd1 0.5000 0.5000 0.5000 1
N1 0.0000 0.0000 0.0000 1

=====

Run B
# La3CdN | the Alexandria database | meta-GGA SCAN | single point on PBEsol structure
# Total moment (μB per atom): 0.00
data_La3CdN
_symmetry_space_group_name_H-M 'R -3 c'
_symmetry_Int_Tables_number 167
_symmetry_space_group_name_Hall '-R 3 2"c'
_cell_length_a 7.1403
_cell_length_b 7.1403
_cell_length_c 17.5244
_cell_angle_alpha 90.00
_cell_angle_beta 90.00
_cell_angle_gamma 120.00
loop_
_atom_site_label
_atom_site_fract_x
_atom_site_fract_y
_atom_site_fract_z
_atom_site_occupancy
La1 0.0000 0.4635 0.2500 1
Cd1 0.0000 0.0000 0.2500 1
N1 0.0000 0.0000 0.0000 1

=====

Here are the energies relative to the best structure, in kJ/mol of atoms: run A 0.9; run B 0.0.

=====

Run A
# La2CdP | the Alexandria database | meta-GGA SCAN | single point on PBEsol structure
# Total moment (μB per atom): 0.12
data_La2CdP
_symmetry_space_group_name_H-M 'C m m 2'
_symmetry_Int_Tables_number 35
_cell_length_a 4.5746
_cell_length_b 5.5370
_cell_length_c 8.7561
_cell_angle_alpha 90.00
_cell_angle_beta 90.00
_cell_angle_gamma 90.00
loop_
_symmetry_equiv_pos_as_xyz
'x,y,z'
'-x,-y,z'
'-x,y,z'
'x,-y,z'
'x+1/2,y+1/2,z'
'-x+1/2,-y+1/2,z'
'-x+1/2,y+1/2,z'
'x+1/2,-y+1/2,z'
loop_
_atom_site_label
_atom_site_fract_x
_atom_site_fract_y
_atom_site_fract_z
_atom_site_occupancy
La1 0.0000 0.0000 0.0000 1
La2 0.0000 0.5000 0.3738 1
Cd1 0.0000 0.0000 0.6300 1
P1 0.0000 0.5000 0.8106 1

=====

Run B
# La2CdP | the Alexandria database | meta-GGA SCAN | single point on PBEsol structure
# Total moment (μB per atom): 0.00
data_La2CdP
_symmetry_space_group_name_H-M 'F -4 3 m'
_symmetry_Int_Tables_number 216
_symmetry_space_group_name_Hall 'F -4 2 3'
_cell_length_a 7.2726
_cell_length_b 7.2726
_cell_length_c 7.2726
_cell_angle_alpha 90.00
_cell_angle_beta 90.00
_cell_angle_gamma 90.00
loop_
_atom_site_label
_atom_site_fract_x
_atom_site_fract_y
_atom_site_fract_z
_atom_site_occupancy
La1 0.0000 0.0000 0.0000 1
La2 0.2500 0.2500 0.2500 1
Cd1 0.0000 0.0000 0.5000 1
P1 0.2500 0.2500 0.7500 1

=====

Here are the energies relative to the best structure, in kJ/mol of atoms: run A 0.0; run B 28.8.

=====

Run A
# LaCd2Pt2 | the Alexandria database | meta-GGA SCAN | single point on PBEsol structure
# Total moment (μB per atom): 0.00
data_LaCd2Pt2
_symmetry_space_group_name_H-M 'I 4/m m m'
_symmetry_Int_Tables_number 139
_symmetry_space_group_name_Hall '-I 4 2'
_cell_length_a 4.0504
_cell_length_b 4.0504
_cell_length_c 12.9650
_cell_angle_alpha 90.00
_cell_angle_beta 90.00
_cell_angle_gamma 90.00
loop_
_atom_site_label
_atom_site_fract_x
_atom_site_fract_y
_atom_site_fract_z
_atom_site_occupancy
La1 0.0000 0.0000 0.0000 1
Cd1 0.0000 0.5000 0.2500 1
Pt1 0.0000 0.0000 0.3994 1

=====

Run B
# LaCd2Pt2 | the Alexandria database | meta-GGA SCAN | single point on PBEsol structure
# Total moment (μB per atom): 0.00
data_LaCd2Pt2
_symmetry_space_group_name_H-M 'I 4/m m m'
_symmetry_Int_Tables_number 139
_symmetry_space_group_name_Hall '-I 4 2'
_cell_length_a 4.8922
_cell_length_b 4.8922
_cell_length_c 9.3033
_cell_angle_alpha 90.00
_cell_angle_beta 90.00
_cell_angle_gamma 90.00
loop_
_atom_site_label
_atom_site_fract_x
_atom_site_fract_y
_atom_site_fract_z
_atom_site_occupancy
La1 0.0000 0.0000 0.0000 1
Cd1 0.0000 0.0000 0.3590 1
Pt1 0.0000 0.5000 0.2500 1

=====

Here are the energies relative to the best structure, in kJ/mol of atoms: run A 0.0; run B 26.5.

=====

Run A
# LaCd2Re | the Alexandria database | meta-GGA SCAN | single point on PBEsol structure
# Total moment (μB per atom): 0.00
data_LaCd2Re
_symmetry_space_group_name_H-M 'F m -3 m'
_symmetry_Int_Tables_number 225
_symmetry_space_group_name_Hall '-F 4 2 3'
_cell_length_a 6.9947
_cell_length_b 6.9947
_cell_length_c 6.9947
_cell_angle_alpha 90.00
_cell_angle_beta 90.00
_cell_angle_gamma 90.00
loop_
_atom_site_label
_atom_site_fract_x
_atom_site_fract_y
_atom_site_fract_z
_atom_site_occupancy
La1 0.0000 0.0000 0.0000 1
Cd1 0.2500 0.2500 0.2500 1
Re1 0.0000 0.0000 0.5000 1

=====

Run B
# LaCd2Re | the Alexandria database | meta-GGA SCAN | single point on PBEsol structure
# Total moment (μB per atom): 0.00
data_LaCd2Re
_symmetry_space_group_name_H-M 'P m m 2'
_symmetry_Int_Tables_number 25
_cell_length_a 2.9222
_cell_length_b 4.0855
_cell_length_c 7.2553
_cell_angle_alpha 90.00
_cell_angle_beta 90.00
_cell_angle_gamma 90.00
loop_
_symmetry_equiv_pos_as_xyz
'x,y,z'
'-x,-y,z'
'-x,y,z'
'x,-y,z'
loop_
_atom_site_label
_atom_site_fract_x
_atom_site_fract_y
_atom_site_fract_z
_atom_site_occupancy
La1 0.0000 0.0000 0.0000 1
Cd1 0.0000 0.0000 0.4482 1
Cd2 0.5000 0.5000 0.6684 1
Re1 0.5000 0.5000 0.2537 1

=====

Run C
# LaCd2Re | the Alexandria database | meta-GGA SCAN | single point on PBEsol structure
# Total moment (μB per atom): 0.00
data_LaCd2Re
_symmetry_space_group_name_H-M 'I -4 m 2'
_symmetry_Int_Tables_number 119
_symmetry_space_group_name_Hall 'I -4 -2'
_cell_length_a 4.5953
_cell_length_b 4.5953
_cell_length_c 8.0599
_cell_angle_alpha 90.00
_cell_angle_beta 90.00
_cell_angle_gamma 90.00
loop_
_atom_site_label
_atom_site_fract_x
_atom_site_fract_y
_atom_site_fract_z
_atom_site_occupancy
La1 0.0000 0.0000 0.0000 1
Cd1 0.0000 0.0000 0.5000 1
Cd2 0.0000 0.5000 0.7500 1
Re1 0.0000 0.5000 0.2500 1

=====

Here are the energies relative to the best structure, in kJ/mol of atoms: run A 12.9; run B 0.0; run C 16.3.